A plane-wave DFT calculation with PBE was carried out for a geometry-optimized HfRePt structure.

Results
**Total DFT energy (no corrections)**: -9.258 eV per atom
**Distance to the lowest polymorph of the same formula**: 0 meV/atom
**Energy of formation**: 220 meV per atom

```
data_HfRePt
_cell_length_a 6.193
_cell_length_b 6.193
_cell_length_c 6.193
_cell_angle_alpha 90.00
_cell_angle_beta 90.00
_cell_angle_gamma 90.00
_symmetry_space_group_name_H-M 'F -4 3 m'
_symmetry_Int_Tables_number 216
_symmetry_space_group_name_Hall 'F -4 2 3'
loop_
_atom_site_label
_atom_site_type_symbol
_atom_site_fract_x
_atom_site_fract_y
_atom_site_fract_z
_atom_site_occupancy
Hf1 Hf 0.000 0.000 0.000 1
Re1 Re 0.000 0.000 0.500 1
Pt1 Pt 0.250 0.250 0.250 1
```